1.
Material: NiRu2Au
Method: DFT, GGA-PBE
State: relaxed

Values from the calculation:
Energy above the lowest structure with this stoichiometry (meV/atom): 246
Calculated formation energy (kJ/mol of atoms): 40.4
Symmetry: Cmmm

The structure in CIF format:
```
data_NiRu2Au
_chemical_formula_sum 'Ni1 Ru2 Au1'
_cell_length_a 4.747
_cell_length_b 4.747
_cell_length_c 2.752
_cell_angle_alpha 90.00
_cell_angle_beta 90.00
_cell_angle_gamma 112.53
_space_group_name_H-M_alt 'P 1'
_space_group_IT_number 1
loop_
_space_group_symop_operation_xyz
'x,y,z'
loop_
_atom_site_label
_atom_site_type_symbol
_atom_site_fract_x
_atom_site_fract_y
_atom_site_fract_z
Ni1 Ni 0.000 0.000 0.000
Ru1 Ru 0.000 0.500 0.500
Ru2 Ru 0.500 0.000 0.500
Au1 Au 0.500 0.500 0.000
```

---

2.
Material: NiRu3Au
Method: DFT, GGA-PBE
State: relaxed

Values from the calculation:
Energy above the lowest structure with this stoichiometry (meV/atom): 0
Calculated formation energy (kJ/mol of atoms): 137.7
Symmetry: Pm-3m

The structure in CIF format:
```
data_NiRu3Au
_chemical_formula_sum 'Ni1 Ru3 Au1'
_cell_length_a 4.457
_cell_length_b 4.457
_cell_length_c 4.457
_cell_angle_alpha 90.00
_cell_angle_beta 90.00
_cell_angle_gamma 90.00
_space_group_name_H-M_alt 'P 1'
_space_group_IT_number 1
loop_
_space_group_symop_operation_xyz
'x,y,z'
loop_
_atom_site_label
_atom_site_type_symbol
_atom_site_fract_x
_atom_site_fract_y
_atom_site_fract_z
Ni1 Ni 0.000 0.000 0.000
Ru1 Ru 0.000 0.000 0.500
Ru2 Ru 0.000 0.500 0.000
Ru3 Ru 0.500 0.000 0.000
Au1 Au 0.500 0.500 0.500
```

---

3.
Material: Ni2RuAu
Method: DFT, GGA-PBE
State: relaxed

Values from the calculation:
Energy above the lowest structure with this stoichiometry (meV/atom): 101
Calculated formation energy (kJ/mol of atoms): 22.9
Symmetry: Cm

The structure in CIF format:
```
data_Ni2RuAu
_chemical_formula_sum 'Ni2 Ru1 Au1'
_cell_length_a 4.672
_cell_length_b 4.672
_cell_length_c 4.604
_cell_angle_alpha 101.35
_cell_angle_beta 101.35
_cell_angle_gamma 33.37
_space_group_name_H-M_alt 'P 1'
_space_group_IT_number 1
loop_
_space_group_symop_operation_xyz
'x,y,z'
loop_
_atom_site_label
_atom_site_type_symbol
_atom_site_fract_x
_atom_site_fract_y
_atom_site_fract_z
Ni1 Ni 0.000 0.000 0.000
Ni2 Ni 0.737 0.737 0.263
Ru1 Ru 0.481 0.481 0.460
Au1 Au 0.244 0.244 0.767
```

---

4.
Material: NiRu2Au
Method: DFT, GGA-PBE
State: relaxed

Values from the calculation:
Energy above the lowest structure with this stoichiometry (meV/atom): 101
Calculated formation energy (kJ/mol of atoms): 26.4
Symmetry: Cm

The structure in CIF format:
```
data_NiRu2Au
_chemical_formula_sum 'Ni1 Ru2 Au1'
_cell_length_a 4.656
_cell_length_b 4.656
_cell_length_c 4.766
_cell_angle_alpha 99.53
_cell_angle_beta 99.53
_cell_angle_gamma 34.22
_space_group_name_H-M_alt 'P 1'
_space_group_IT_number 1
loop_
_space_group_symop_operation_xyz
'x,y,z'
loop_
_atom_site_label
_atom_site_type_symbol
_atom_site_fract_x
_atom_site_fract_y
_atom_site_fract_z
Ni1 Ni 0.000 0.000 0.000
Ru1 Ru 0.254 0.254 0.741
Ru2 Ru 0.509 0.509 0.544
Au1 Au 0.752 0.752 0.239
```